{"formula": "KV2Pb2O7", "functional": "PBE with a Hubbard U", "state": "relaxed", "cell": [[2.946, 1.701, 8.152], [-2.946, 1.701, 8.152], [0.000, -3.401, 8.152]], "species": ["K", "V", "V", "Pb", "Pb", "O", "O", "O", "O", "O", "O", "O"], "frac_coords": [[0.000, 0.000, 0.000], [0.425, 0.425, 0.425], [0.575, 0.575, 0.575], [0.213, 0.213, 0.213], [0.787, 0.787, 0.787], [0.094, 0.460, 0.660], [0.340, 0.540, 0.906], [0.460, 0.660, 0.094], [0.500, 0.500, 0.500], [0.540, 0.906, 0.340], [0.660, 0.094, 0.460], [0.906, 0.340, 0.540]], "dft_energy_ev_per_atom": -6.490, "sg": "R32, No. 155", "m_tot_mub_per_fu": 1.0}